An optimized crystal structure of Rb2In5Sn, computed with PBE-GGA.

Properties
For the formation energy from the elements, the calculation gives 0.66 eV per formula unit. As for the electronic total energy: -2.37 eV per atom.

Cell lengths 7.3287, 7.3287, 5.9095 Å; angles 90.00, 90.00, 90.00 degrees
Last column: nearest neighbours and their distance in Å.
Space group P4/mmm (No. 123)
Unique sites:
1 Rb 0.0000 0.5000 0.0000 [2 per cell]  10 In 3.66-3.96
2 In 0.0000 0.0000 0.0000 [1 per cell]  2 Sn 2.95
3 In 0.2967 0.2967 0.5000 [4 per cell]  2 In 2.98, 1 Sn 3.07
4 Sn 0.0000 0.0000 0.5000 [1 per cell]  6 In 2.95-3.07